Record 1
# ScNiMoIr2

ScNiMoIr2 after structural relaxation (PBE, the Alexandria database).

```
ScNiMoIr2
1.0
4.732 0.000 0.000
0.000 4.732 0.000
0.000 0.000 4.465
Sc Ni Mo Ir
1 1 1 2
Direct
0.000 0.000 0.000
0.500 0.500 0.000
0.500 0.500 0.500
0.000 0.500 0.500
0.500 0.000 0.500
```

Properties
Space group ... P4/mmm (123)
Crystal system ... tetragonal
Spin magnetization ... 0.0 μB per formula unit
Formation energy from the elements ... 3.820 eV/f.u.



Record 2
# BaSi2Br

BaSi2Br after structural relaxation (PBE, the Alexandria database).

```
BaSi2Br
1.0
0.000 3.818 3.818
3.818 0.000 3.818
3.818 3.818 0.000
Ba Si Br
1 2 1
Direct
0.000 0.000 0.000
0.250 0.250 0.250
0.750 0.750 0.750
0.500 0.500 0.500
```

Properties
Space group ... Fm-3m (225)
Crystal system ... cubic
Spin magnetization ... 0.0 μB per formula unit
E above lowest polymorph ... 1064 meV/atom
Formation energy without anion corrections ... 0.4754 eV/atom